{"formula": "Li2Ac3Hg5", "functional": "GGA-PBE", "state": "optimized geometry", "total_magnetization_mub_per_fu": 0.0, "energy_ev_per_atom": -2.196, "dos_ef_per_ev_cell": 14.2, "sg": "No. 127", "lattice": [[11.569, 0.000, 0.000], [0.000, 11.569, 0.000], [0.000, 0.000, 4.074]], "species": ["Li", "Li", "Li", "Li", "Ac", "Ac", "Ac", "Ac", "Ac", "Ac", "Hg", "Hg", "Hg", "Hg", "Hg", "Hg", "Hg", "Hg", "Hg", "Hg"], "frac_coords": [[0.113, 0.387, 0.000], [0.387, 0.887, 0.000], [0.613, 0.113, 0.000], [0.887, 0.613, 0.000], [0.000, 0.000, 0.000], [0.180, 0.680, 0.000], [0.320, 0.180, 0.000], [0.500, 0.500, 0.000], [0.680, 0.820, 0.000], [0.820, 0.320, 0.000], [0.000, 0.500, 0.500], [0.066, 0.224, 0.500], [0.224, 0.934, 0.500], [0.276, 0.434, 0.500], [0.434, 0.724, 0.500], [0.500, 0.000, 0.500], [0.566, 0.276, 0.500], [0.724, 0.566, 0.500], [0.776, 0.066, 0.500], [0.934, 0.776, 0.500]]}



{"formula": "Li4Ac4Hg7", "functional": "GGA-PBE", "state": "optimized geometry", "total_magnetization_mub_per_fu": 0.0, "energy_ev_per_atom": -2.112, "dos_ef_per_ev_cell": 28.5, "sg": "No. 139", "lattice": [[-7.949, 7.949, 3.196], [7.949, -7.949, 3.196], [7.949, 7.949, -3.196]], "species": ["Li", "Li", "Li", "Li", "Li", "Li", "Li", "Li", "Ac", "Ac", "Ac", "Ac", "Ac", "Ac", "Ac", "Ac", "Hg", "Hg", "Hg", "Hg", "Hg", "Hg", "Hg", "Hg", "Hg", "Hg", "Hg", "Hg", "Hg", "Hg"], "frac_coords": [[0.107, 0.607, 0.215], [0.107, 0.893, 0.500], [0.393, 0.607, 0.500], [0.393, 0.893, 0.785], [0.607, 0.107, 0.215], [0.607, 0.393, 0.500], [0.893, 0.107, 0.500], [0.893, 0.393, 0.785], [0.000, 0.193, 0.193], [0.000, 0.807, 0.807], [0.193, 0.000, 0.193], [0.356, 0.356, 0.712], [0.356, 0.644, 0.000], [0.644, 0.356, 0.000], [0.644, 0.644, 0.288], [0.807, 0.000, 0.807], [0.000, 0.406, 0.406], [0.000, 0.594, 0.594], [0.197, 0.500, 0.697], [0.210, 0.210, 0.420], [0.210, 0.790, 0.000], [0.260, 0.260, 0.000], [0.406, 0.000, 0.406], [0.500, 0.197, 0.697], [0.500, 0.803, 0.303], [0.594, 0.000, 0.594], [0.740, 0.740, 0.000], [0.790, 0.210, 0.000], [0.790, 0.790, 0.580], [0.803, 0.500, 0.303]]}